This record from the Alexandria database describes a relaxed MnIn2Sb crystal. The functional is PBE.

Summary:
Formation energy (no corrections) in meV/atom: 277
Magnetization in Bohr magnetons per cell: 10.688
E in eV/atom: -4.42
Volume in Å³/cell: 278.1
DOS at the Fermi energy in states/eV per cell: 9.9

Structure (CIF):
```
data_MnIn2Sb
_space_group_name_H-M_alt 'R -3 m'
_space_group_IT_number 166
_space_group_name_Hall '-R 3 2"'
_cell_length_a 3.3246
_cell_length_b 3.3246
_cell_length_c 29.0500
_cell_angle_alpha 90.00
_cell_angle_beta 90.00
_cell_angle_gamma 120.00
loop_
_atom_site_label
_atom_site_fract_x
_atom_site_fract_y
_atom_site_fract_z
Mn1 0.0000 0.0000 0.0000
In1 0.0000 0.0000 0.2601
Sb1 0.0000 0.0000 0.5000
```

This record from the Alexandria database describes a relaxed MnIn2Sb crystal. The functional is PBE.

Summary:
Formation energy (no corrections) in meV/atom: 299
Magnetization in Bohr magnetons per cell: 3.881
E in eV/atom: -4.39
Volume in Å³/cell: 93.5
DOS at the Fermi energy in states/eV per cell: 2.8

Structure (CIF):
```
data_MnIn2Sb
_space_group_name_H-M_alt 'P m m m'
_space_group_IT_number 47
_space_group_name_Hall '-P 2 2'
_cell_length_a 3.337
_cell_length_b 4.525
_cell_length_c 6.195
_cell_angle_alpha 90.00
_cell_angle_beta 90.00
_cell_angle_gamma 90.00
loop_
_atom_site_label
_atom_site_fract_x
_atom_site_fract_y
_atom_site_fract_z
Mn1 0.000 0.000 0.000
In1 0.500 0.500 0.234
Sb1 0.000 0.000 0.500
```

This record from the Alexandria database describes a relaxed Mn2InSb crystal. The functional is PBE.

Summary:
E above lowest polymorph in meV per atom: 10
Formation energy (no corrections) in meV/atom: 236
Magnetization in Bohr magnetons per cell: 2.448
E in eV/atom: -6.06
Volume in Å³/cell: 75.5
DOS at the Fermi energy in states/eV per cell: 2.5

Structure (CIF):
```
data_Mn2InSb
_space_group_name_H-M_alt 'P 4 m m'
_space_group_IT_number 99
_space_group_name_Hall 'P 4 -2'
_cell_length_a 3.053
_cell_length_b 3.053
_cell_length_c 8.102
_cell_angle_alpha 90.00
_cell_angle_beta 90.00
_cell_angle_gamma 90.00
loop_
_atom_site_label
_atom_site_fract_x
_atom_site_fract_y
_atom_site_fract_z
Mn1 0.000 0.000 0.000
Mn2 0.500 0.500 0.158
In1 0.500 0.500 0.771
Sb1 0.000 0.000 0.370
```

This record from the Alexandria database describes a relaxed Mn2InSb crystal. The functional is PBE.

Summary:
E above lowest polymorph in meV per atom: 229
Formation energy (no corrections) in meV/atom: 455
Magnetization in Bohr magnetons per cell: 26.538
E in eV/atom: -5.85
Volume in Å³/cell: 331.1
DOS at the Fermi energy in states/eV per cell: 12.9

Structure (CIF):
```
data_Mn2InSb
_space_group_name_H-M_alt 'I -4 2 d'
_space_group_IT_number 122
_space_group_name_Hall 'I -4 2bw'
_cell_length_a 7.460
_cell_length_b 7.460
_cell_length_c 5.949
_cell_angle_alpha 90.00
_cell_angle_beta 90.00
_cell_angle_gamma 90.00
loop_
_atom_site_label
_atom_site_fract_x
_atom_site_fract_y
_atom_site_fract_z
Mn1 0.243 0.250 0.125
In1 0.000 0.000 0.500
Sb1 0.000 0.000 0.000
```

This record from the Alexandria database describes a relaxed Mn3InSb crystal. The functional is PBE.

Summary:
E above lowest polymorph in meV per atom: 0
Formation energy (no corrections) in meV/atom: 817
Magnetization in Bohr magnetons per cell: 11.287
E in eV/atom: -6.06
Volume in Å³/cell: 125.3
DOS at the Fermi energy in states/eV per cell: 2.6

Structure (CIF):
```
data_Mn3InSb
_space_group_name_H-M_alt 'P m -3 m'
_space_group_IT_number 221
_space_group_name_Hall '-P 4 2 3'
_cell_length_a 5.004
_cell_length_b 5.004
_cell_length_c 5.004
_cell_angle_alpha 90.00
_cell_angle_beta 90.00
_cell_angle_gamma 90.00
loop_
_atom_site_label
_atom_site_fract_x
_atom_site_fract_y
_atom_site_fract_z
Mn1 0.000 0.000 0.500
In1 0.500 0.500 0.500
Sb1 0.000 0.000 0.000
```

This record from the Alexandria database describes a relaxed Mn2InSb crystal. The functional is PBE.

Summary:
E above lowest polymorph in meV per atom: 0
Formation energy (no corrections) in meV/atom: 226
Magnetization in Bohr magnetons per cell: 6.061
E in eV/atom: -6.07
Volume in Å³/cell: 74.1
DOS at the Fermi energy in states/eV per cell: 2.4

Structure (CIF):
```
data_Mn2InSb
_space_group_name_H-M_alt 'P 4 m m'
_space_group_IT_number 99
_space_group_name_Hall 'P 4 -2'
_cell_length_a 3.633
_cell_length_b 3.633
_cell_length_c 5.617
_cell_angle_alpha 90.00
_cell_angle_beta 90.00
_cell_angle_gamma 90.00
loop_
_atom_site_label
_atom_site_fract_x
_atom_site_fract_y
_atom_site_fract_z
Mn1 0.000 0.000 0.000
Mn2 0.500 0.500 0.264
In1 0.500 0.500 0.792
Sb1 0.000 0.000 0.465
```

This record from the Alexandria database describes a relaxed Mn2InSb crystal. The functional is PBE.

Summary:
E above lowest polymorph in meV per atom: 59
Formation energy (no corrections) in meV/atom: 285
Magnetization in Bohr magnetons per cell: 6.249
E in eV/atom: -6.01
Volume in Å³/cell: 73.3
DOS at the Fermi energy in states/eV per cell: 2.6

Structure (CIF):
```
data_Mn2InSb
_space_group_name_H-M_alt 'P 4/m m m'
_space_group_IT_number 123
_space_group_name_Hall '-P 4 2'
_cell_length_a 3.425
_cell_length_b 3.425
_cell_length_c 6.245
_cell_angle_alpha 90.00
_cell_angle_beta 90.00
_cell_angle_gamma 90.00
loop_
_atom_site_label
_atom_site_fract_x
_atom_site_fract_y
_atom_site_fract_z
Mn1 0.000 0.000 0.231
In1 0.500 0.500 0.500
Sb1 0.500 0.500 0.000
```

This record from the Alexandria database describes a relaxed Mn2InSb crystal. The functional is PBE.

Summary:
E above lowest polymorph in meV per atom: 94
Formation energy (no corrections) in meV/atom: 320
Magnetization in Bohr magnetons per cell: 22.241
E in eV/atom: -5.98
Volume in Å³/cell: 252.2
DOS at the Fermi energy in states/eV per cell: 6.8

Structure (CIF):
```
data_Mn2InSb
_space_group_name_H-M_alt 'R -3 m'
_space_group_IT_number 166
_space_group_name_Hall '-R 3 2"'
_cell_length_a 3.5596
_cell_length_b 3.5596
_cell_length_c 22.9798
_cell_angle_alpha 90.00
_cell_angle_beta 90.00
_cell_angle_gamma 120.00
loop_
_atom_site_label
_atom_site_fract_x
_atom_site_fract_y
_atom_site_fract_z
Mn1 0.0000 0.0000 0.2466
In1 0.0000 0.0000 0.0000
Sb1 0.0000 0.0000 0.5000
```

Q: Which value of E does entry 3 give?
A: -6.06 eV/atom

Q: Number 4 is which compound?
A: Mn2InSb

Q: Look up the E of the seventh one.
A: -6.01 eV/atom